(1)
Here is LaAl2Ru after structural relaxation from the Alexandria database. Energies are from PBE-GGA.

The calculation puts the formation energy at -0.088 eV/atom. The magnetic moment comes out at 0.11 μB/atom.

The space group is R-3m (No. 166, hexagonal axes) and the conventional cell measures 3.2048, 3.2048 and 27.2237 Å, with angles of 90.00, 90.00 and 120.00 degrees. Symmetry generates all atoms from La at (0.0000, 0.0000, 0.0000), Al at (0.0000, 0.0000, 0.2302) and Ru at (0.0000, 0.0000, 0.5000).

(2)
Here is LaAl2Ru after structural relaxation from the Alexandria database. Energies are from PBE-GGA.

The calculation puts the formation energy at -0.138 eV/atom. The magnetic moment comes out at 0.00 μB/atom.

The space group is F-43m (No. 216) and the conventional cell measures 6.758, 6.758 and 6.758 Å, with angles of 90.00, 90.00 and 90.00 degrees. Symmetry generates all atoms from La at (0.000, 0.000, 0.000), Al at (0.000, 0.000, 0.500), Al at (0.250, 0.250, 0.250) and Ru at (0.250, 0.250, 0.750).

(3)
Here is La3AlRu3 after structural relaxation from the Alexandria database. Energies are from PBE-GGA.

The calculation puts the formation energy at -0.347 eV/atom. The magnetic moment comes out at 0.00 μB/atom.

The space group is Cmcm (No. 63) and the conventional cell measures 4.134, 11.157 and 13.741 Å, with angles of 90.00, 90.00 and 90.00 degrees. Symmetry generates all atoms from La at (0.000, 0.023, 0.250), La at (0.000, 0.299, 0.106), Al at (0.000, 0.000, 0.000), Ru at (0.000, 0.268, 0.750) and Ru at (0.000, 0.413, 0.586).